VASP calculation (PBE) on PuScCd after structural relaxation.

Cell lengths 3.181, 3.181, 7.511 Å; angles 102.23, 102.23, 90.00 degrees
Sites, in units of the cell vectors:
Sc (0.658, 0.658, 0.316)
Cd (0.008, 0.008, 0.015)
Pu (0.334, 0.334, 0.668)

Values from the calculation:
**Excess energy over the best structure of this formula in the dataset**: 0 meV per atom
**Fermi-level density of states**: 7.83 states/eV/cell
**Energy of formation**: -0.1 eV per formula unit

=====

VASP calculation (PBE) on Zr3ScMn after structural relaxation.

Cell lengths 4.886, 4.886, 4.886 Å; angles 90.00, 90.00, 90.00 degrees
Sites, in units of the cell vectors:
Zr (0.000, 0.000, 0.500)
Zr (0.500, 0.000, 0.000)
Zr (0.000, 0.500, 0.000)
Sc (0.500, 0.500, 0.500)
Mn (0.000, 0.000, 0.000)

Values from the calculation:
**Excess energy over the best structure of this formula in the dataset**: 0 meV per atom
**Fermi-level density of states**: 10.15 states/eV/cell
**Energy of formation**: 1.4 eV per formula unit

=====

VASP calculation (PBE) on AlCrAs2S after structural relaxation.

Cell lengths 4.504, 4.911, 4.504 Å; angles 90.00, 90.00, 90.00 degrees
Sites, in units of the cell vectors:
S (0.500, 0.500, 0.500)
As (0.500, 0.000, 0.000)
As (0.000, 0.000, 0.500)
Al (0.000, 0.500, 0.000)
Cr (0.000, 0.000, 0.000)

Values from the calculation:
**Fermi-level density of states**: 3.43 states/eV/cell
**ΔE_f (raw)**: 0.354 eV/atom

=====

VASP calculation (PBE) on GeS2O after structural relaxation.

Cell lengths 8.436, 8.436, 8.436 Å; angles 19.50, 19.50, 19.50 degrees
Sites, in units of the cell vectors:
S (0.899, 0.899, 0.899)
S (0.101, 0.101, 0.101)
Ge (0.000, 0.000, 0.000)
O (0.500, 0.500, 0.500)

Values from the calculation:
**Excess energy over the best structure of this formula in the dataset**: 730 meV per atom
**Fermi-level density of states**: 3.14 states/eV/cell
**ΔE_f (raw)**: 0.819 eV/atom

=====

VASP calculation (PBE) on LiCo2BAs after structural relaxation.

Cell lengths 5.379, 3.093, 7.878 Å; angles 90.00, 127.49, 90.00 degrees
Sites, in units of the cell vectors:
As (0.975, 0.500, 0.464)
As (0.975, 0.000, 0.964)
Li (0.754, 0.500, 0.089)
Li (0.754, 0.000, 0.589)
Co (0.539, 0.000, 0.219)
Co (0.539, 0.500, 0.719)
Co (0.192, 0.500, 0.838)
Co (0.192, 0.000, 0.338)
B (0.419, 0.500, 0.333)
B (0.419, 0.000, 0.833)

Values from the calculation:
**Excess energy over the best structure of this formula in the dataset**: 202 meV per atom
**Fermi-level density of states**: 2.88 states/eV/cell
**Energy of formation**: -0.4 eV per formula unit

=====

VASP calculation (PBE) on AlTe3 after structural relaxation.

Cell lengths 5.344, 5.344, 3.729 Å; angles 90.00, 90.00, 90.00 degrees
Sites, in units of the cell vectors:
Al (0.000, 0.000, 0.000)
Te (0.000, 0.500, 0.500)
Te (0.500, 0.500, 0.000)
Te (0.500, 0.000, 0.500)

Values from the calculation:
**Fermi-level density of states**: 2.57 states/eV/cell
**ΔE_f (raw)**: 0.250 eV/atom

=====

VASP calculation (PBE) on K4ReNi after structural relaxation.

Cell lengths 6.820, 6.820, 6.820 Å; angles 60.00, 60.00, 60.00 degrees
Sites, in units of the cell vectors:
K (0.375, 0.375, 0.375)
K (0.375, 0.375, 0.874)
K (0.375, 0.874, 0.375)
K (0.874, 0.375, 0.375)
Ni (0.750, 0.750, 0.750)
Re (0.000, 0.000, 0.000)

Values from the calculation:
**Fermi-level density of states**: 8.73 states/eV/cell
**Energy of formation**: 9.9 eV per formula unit

=====

VASP calculation (PBE) on Tl2VNiAg after structural relaxation.

Cell lengths 5.009, 4.617, 5.009 Å; angles 90.00, 90.00, 90.00 degrees
Sites, in units of the cell vectors:
Ni (0.000, 0.000, 0.000)
Tl (0.500, 0.000, 0.000)
Tl (0.000, 0.000, 0.500)
V (0.000, 0.500, 0.000)
Ag (0.500, 0.500, 0.500)

Values from the calculation:
**Fermi-level density of states**: 4.41 states/eV/cell
**Energy of formation**: 3.1 eV per formula unit

=====

VASP calculation (PBE) on K2MgMnAl after structural relaxation.

Cell lengths 6.329, 5.292, 6.329 Å; angles 90.00, 90.00, 90.00 degrees
Sites, in units of the cell vectors:
K (0.000, 0.000, 0.500)
K (0.500, 0.000, 0.000)
Al (0.500, 0.500, 0.500)
Mn (0.000, 0.000, 0.000)
Mg (0.000, 0.500, 0.000)

Values from the calculation:
**Fermi-level density of states**: 4.05 states/eV/cell
**Energy of formation**: 4.7 eV per formula unit

=====

VASP calculation (PBE) on Ca2TePbO6 after structural relaxation.

Cell lengths 5.813, 5.813, 6.218 Å; angles 62.13, 62.13, 60.00 degrees
Sites, in units of the cell vectors:
O (0.555, 0.245, 0.219)
O (0.981, 0.555, 0.219)
O (0.245, 0.981, 0.219)
O (0.398, 0.674, 0.784)
O (0.143, 0.398, 0.784)
O (0.674, 0.143, 0.784)
Ca (0.531, 0.531, 0.406)
Ca (0.013, 0.013, 0.960)
Pb (0.796, 0.796, 0.612)
Te (0.324, 0.324, 0.029)

Values from the calculation:
**Fermi-level density of states**: 0.00 states/eV/cell
**ΔE_f (raw)**: -1.937 eV/atom

=====

VASP calculation (PBE) on CaIn2Au after structural relaxation.

Cell lengths 6.244, 6.244, 5.122 Å; angles 66.05, 66.05, 33.99 degrees
Sites, in units of the cell vectors:
Au (0.750, 0.750, 0.750)
Ca (0.250, 0.250, 0.250)
In (0.035, 0.035, 0.966)
In (0.465, 0.465, 0.534)

Values from the calculation:
**Fermi-level density of states**: 1.88 states/eV/cell
**Energy of formation**: -1.6 eV per formula unit

=====

VASP calculation (PBE) on LiScHgSb after structural relaxation.

Cell lengths 4.961, 4.961, 4.961 Å; angles 60.00, 60.00, 60.00 degrees
Sites, in units of the cell vectors:
Sc (0.000, 0.000, 0.000)
Hg (0.750, 0.750, 0.750)
Li (0.500, 0.500, 0.500)
Sb (0.250, 0.250, 0.250)

Values from the calculation:
**Fermi-level density of states**: 2.74 states/eV/cell
**ΔE_f (raw)**: -0.475 eV/atom

=====

no.,VASP energy (eV/atom),magnetization (μB/cell)
1,-7.220,5.79
2,-7.954,0.00
3,-5.004,0.94
4,-3.639,0.00
5,-5.578,0.00
6,-3.042,0.00
7,-2.116,4.61
8,-3.880,2.95
9,-2.393,3.73
10,-5.997,0.00
11,-3.078,0.00
12,-3.642,0.00